La2NdDy | GGA-PBE | optimized geometry

* relative energy among the computed polymorphs: 0.009 eV per atom
* E_form: 0.02 eV per atom
* crystal system: tetragonal
* SG: No. 123

Structure (CIF):
```
data_La2NdDy
_chemical_formula_sum 'La2 Nd1 Dy1'
_cell_length_a 3.7045
_cell_length_b 3.7045
_cell_length_c 10.2442
_cell_angle_alpha 90.00
_cell_angle_beta 90.00
_cell_angle_gamma 90.00
_space_group_name_H-M_alt 'P 1'
_space_group_IT_number 1
loop_
_space_group_symop_operation_xyz
'x,y,z'
loop_
_atom_site_label
_atom_site_fract_x
_atom_site_fract_y
_atom_site_fract_z
_atom_site_occupancy
Nd1 0.5000 0.5000 0.5000 1
Dy1 0.5000 0.5000 0.0000 1
La1 0.0000 0.0000 0.7545 1
La2 0.0000 0.0000 0.2455 1
```

Ag2TeCl5 | GGA-PBE | optimized geometry

* relative energy among the computed polymorphs: 0.023 eV per atom
* uncorrected formation energy: -425 meV/atom
* crystal system: triclinic
* SG: No. 1

Structure (CIF):
```
data_Ag2TeCl5
_chemical_formula_sum 'Ag2 Te1 Cl5'
_cell_length_a 7.4752
_cell_length_b 7.7181
_cell_length_c 6.8053
_cell_angle_alpha 108.30
_cell_angle_beta 122.48
_cell_angle_gamma 108.88
_space_group_name_H-M_alt 'P 1'
_space_group_IT_number 1
loop_
_space_group_symop_operation_xyz
'x,y,z'
loop_
_atom_site_label
_atom_site_fract_x
_atom_site_fract_y
_atom_site_fract_z
_atom_site_occupancy
Cl1 0.8561 0.7376 0.1298 1
Cl2 0.6884 0.0305 0.6687 1
Cl3 0.2169 0.8556 0.8878 1
Cl4 0.0773 0.3246 0.4344 1
Cl5 0.4309 0.4332 0.2243 1
Ag1 0.6576 0.3409 0.7743 1
Ag2 0.6734 0.9416 0.2526 1
Te1 0.1763 0.1130 0.1821 1
```

Please write out number 2 again, unchanged.
Ag2TeCl5 | GGA-PBE | optimized geometry

* relative energy among the computed polymorphs: 0.023 eV per atom
* uncorrected formation energy: -425 meV/atom
* crystal system: triclinic
* SG: No. 1

Structure (CIF):
```
data_Ag2TeCl5
_chemical_formula_sum 'Ag2 Te1 Cl5'
_cell_length_a 7.4752
_cell_length_b 7.7181
_cell_length_c 6.8053
_cell_angle_alpha 108.30
_cell_angle_beta 122.48
_cell_angle_gamma 108.88
_space_group_name_H-M_alt 'P 1'
_space_group_IT_number 1
loop_
_space_group_symop_operation_xyz
'x,y,z'
loop_
_atom_site_label
_atom_site_fract_x
_atom_site_fract_y
_atom_site_fract_z
_atom_site_occupancy
Cl1 0.8561 0.7376 0.1298 1
Cl2 0.6884 0.0305 0.6687 1
Cl3 0.2169 0.8556 0.8878 1
Cl4 0.0773 0.3246 0.4344 1
Cl5 0.4309 0.4332 0.2243 1
Ag1 0.6576 0.3409 0.7743 1
Ag2 0.6734 0.9416 0.2526 1
Te1 0.1763 0.1130 0.1821 1
```